# 1
First-principles (GGA-PBE) data for crystalline Cd2TeBr at its relaxed geometry, as listed in Alexandria.

Summary:
raw formation energy	-0.315	eV/atom
D(E_F)	1.43	states/eV/f.u.
energy relative to the lowest polymorph listed for this composition	75	meV per atom

Lattice parameters (Å, degrees): 8.3887 8.3887 8.3887 133.21 133.21 68.32
With the nearest neighbours (Å) after each atom.
Positions (direct):
Cd  0.1158  0.6250  0.9908  2 Te 2.89, 2 Br 2.96
Cd  0.3750  0.3658  0.4908  2 Te 2.89, 2 Br 2.96
Cd  0.6342  0.1250  0.0092  2 Te 2.89, 2 Br 2.96
Cd  0.8750  0.8842  0.5092  2 Te 2.89, 2 Br 2.96
Te  0.0000  0.0000  0.0000  4 Cd 2.89
Te  0.7500  0.2500  0.5000  4 Cd 2.89
Br  0.2500  0.7500  0.5000  4 Cd 2.96
Br  0.5000  0.5000  0.0000  4 Cd 2.96

---

# 2
First-principles (GGA-PBE) data for crystalline CdTeBr2 at its relaxed geometry, as listed in Alexandria.

Summary:
raw formation energy	-0.389	eV/atom
energy relative to the lowest polymorph listed for this composition	0	meV per atom

Lattice parameters (Å, degrees): 5.2511 4.8012 6.4155 90.00 112.56 90.00
With the nearest neighbours (Å) after each atom.
Positions (direct):
Cd  0.0000  0.0000  0.0000  2 Br 2.79-2.87, 2 Te 2.87
Te  0.1524  0.5000  0.2648  2 Br 2.61-2.87, 2 Cd 2.87
Br  0.4247  0.0000  0.8213  2 Cd 2.79-2.87
Br  0.7406  0.5000  0.3972  2 Te 2.61-2.87

---

# 3
First-principles (GGA-PBE) data for crystalline Cd2TeBr at its relaxed geometry, as listed in Alexandria.

Summary:
raw formation energy	-0.225	eV/atom
D(E_F)	1.60	states/eV/f.u.
energy relative to the lowest polymorph listed for this composition	164	meV per atom

Lattice parameters (Å, degrees): 10.1615 10.1615 10.1615 21.37 21.37 21.37
With the nearest neighbours (Å) after each atom.
Positions (direct):
Cd  0.0000  0.0000  0.0000  3 Te 3.00, 3 Cd 3.08
Cd  0.2603  0.2603  0.2603  3 Br 2.80, 3 Cd 3.08
Te  0.7360  0.7360  0.7360  3 Cd 3.00
Br  0.5345  0.5345  0.5345  3 Cd 2.80

---

# 4
First-principles (GGA-PBE) data for crystalline CdTeBr2 at its relaxed geometry, as listed in Alexandria.

Summary:
raw formation energy	-0.173	eV/atom
D(E_F)	1.52	states/eV/f.u.
energy relative to the lowest polymorph listed for this composition	216	meV per atom

Lattice parameters (Å, degrees): 9.1772 9.1772 9.1772 26.60 26.60 26.60
With the nearest neighbours (Å) after each atom.
Positions (direct):
Cd  0.0000  0.0000  0.0000  3 Br 2.87, 3 Te 3.04
Te  0.2650  0.2650  0.2650  3 Cd 3.04, 3 Br 3.15
Br  0.5233  0.5233  0.5233  3 Te 3.15
Br  0.7237  0.7237  0.7237  3 Cd 2.87

---

# 5
First-principles (GGA-PBE) data for crystalline CdTeBr2 at its relaxed geometry, as listed in Alexandria.

Summary:
raw formation energy	-0.185	eV/atom
D(E_F)	1.61	states/eV/f.u.
energy relative to the lowest polymorph listed for this composition	205	meV per atom

Lattice parameters (Å, degrees): 3.3994 3.3994 11.6062 90.00 90.00 90.00
With the nearest neighbours (Å) after each atom.
Positions (direct):
Cd  0.0000  0.0000  0.0000  8 Br 2.96
Te  0.0000  0.0000  0.5000  4 Te 3.40
Br  0.5000  0.5000  0.1494  4 Cd 2.96
Br  0.5000  0.5000  0.8506  4 Cd 2.96

---

# 6
First-principles (GGA-PBE) data for crystalline Cd2TeBr at its relaxed geometry, as listed in Alexandria.

Summary:
raw formation energy	-0.193	eV/atom
D(E_F)	1.38	states/eV/f.u.
energy relative to the lowest polymorph listed for this composition	197	meV per atom

Lattice parameters (Å, degrees): 7.9040 7.9040 7.9040 149.55 149.55 43.61
With the nearest neighbours (Å) after each atom.
Positions (direct):
Cd  0.0000  0.0000  0.0000  4 Br 2.94
Cd  0.7500  0.2500  0.5000  4 Te 2.94
Te  0.2500  0.7500  0.5000  4 Cd 2.94
Br  0.5000  0.5000  0.0000  4 Cd 2.94